Record 1
Computed, not measured: a geometry-optimized Tb4AlIn2 structure at the GGA-PBE level of DFT.

a b c (Å): 5.2108 5.2108 25.5727
angles (deg): 90.00 90.00 120.00
Space group R-3m (No. 166, hexagonal axes)
Asymmetric unit:
Tb  0.0000  0.0000  0.1227 x6
Tb  0.0000  0.0000  0.3740 x6
Al  0.0000  0.0000  0.5000 x3
In  0.0000  0.0000  0.2507 x6

formation enthalpy at 0 K = -278 meV/atom
energy relative to the lowest polymorph listed for this composition = 0 meV per atom
total energy = -4.241 eV per atom

***

Record 2
Computed, not measured: a geometry-optimized InNiPt3 structure at the GGA-PBE level of DFT.

a b c (Å): 4.5972 4.5972 4.5972
angles (deg): 90.00 90.00 90.00
Space group Pm-3m (No. 221)
Asymmetric unit:
In  0.0000  0.0000  0.0000 x1
Ni  0.5000  0.5000  0.5000 x1
Pt  0.0000  0.5000  0.5000 x3

formation enthalpy at 0 K = 613 meV/atom
energy relative to the lowest polymorph listed for this composition = 0 meV per atom
total energy = -4.715 eV per atom

***

Record 3
Computed, not measured: a geometry-optimized RbAl2ZnGa4 structure at the GGA-PBE level of DFT.

a b c (Å): 4.6314 4.6314 30.5110
angles (deg): 90.00 90.00 120.00
Space group R-3m (No. 166, hexagonal axes)
Asymmetric unit:
Rb  0.0000  0.0000  0.0000 x3
Al  0.0000  0.0000  0.2239 x6
Zn  0.0000  0.0000  0.5000 x3
Ga  0.0000  0.0000  0.1311 x6
Ga  0.0000  0.0000  0.4143 x6

formation enthalpy at 0 K = 6 meV/atom
total energy = -2.723 eV per atom